The following is a DFT calculation (PBE) of a relaxed CoW2 crystal.

Unit cell a=5.327 b=4.317 c=7.461 alpha=90.00 beta=90.00 gamma=90.00
Fractional coordinates of all 12 atoms:
1 Co 0.245 0.250 0.083
2 Co 0.255 0.750 0.583
3 Co 0.745 0.250 0.417
4 Co 0.755 0.750 0.917
5 W 0.008 0.250 0.758
6 W 0.218 0.250 0.416
7 W 0.282 0.750 0.916
8 W 0.492 0.750 0.258
9 W 0.508 0.250 0.742
10 W 0.718 0.250 0.084
11 W 0.782 0.750 0.584
12 W 0.992 0.750 0.242

Output
Formation energy in eV/atom: 0.203
E_tot in eV per atom: -10.80
Relative energy among the computed polymorphs in eV/atom: 0.195